Model a:
! Tb5Y4Mg | Alexandria | PBE | relaxed; values from VASP
! **SG**: No. 123
! **Total moment**: 0.00 Bohr magnetons per cell
&SYSTEM
  ibrav = 0, nat = 10, ntyp = 3
/
ATOMIC_SPECIES
Tb 158.93 Tb.upf
Y 88.91 Y.upf
Mg 24.30 Mg.upf
CELL_PARAMETERS angstrom
3.5800 0.0000 0.0000
0.0000 3.5800 0.0000
0.0000 0.0000 24.3979
ATOMIC_POSITIONS crystal
Tb 0.0000 0.0000 0.0000
Tb 0.0000 0.0000 0.2061
Tb 0.0000 0.0000 0.4110
Tb 0.0000 0.0000 0.5890
Tb 0.0000 0.0000 0.7939
Y 0.5000 0.5000 0.1031
Y 0.5000 0.5000 0.3095
Y 0.5000 0.5000 0.6905
Y 0.5000 0.5000 0.8969
Mg 0.5000 0.5000 0.5000

=====

Model b:
! Tb5Y4Mg | Alexandria | PBE | relaxed; values from VASP
! **SG**: No. 107
! **Total moment**: 0.00 Bohr magnetons per cell
&SYSTEM
  ibrav = 0, nat = 10, ntyp = 3
/
ATOMIC_SPECIES
Tb 158.93 Tb.upf
Y 88.91 Y.upf
Mg 24.30 Mg.upf
CELL_PARAMETERS angstrom
-5.2948 5.2948 2.8866
5.2948 -5.2948 2.8866
5.2948 5.2948 -2.8866
ATOMIC_POSITIONS crystal
Tb 0.0000 0.0000 0.0000
Tb 0.5346 0.5346 0.6289
Tb 0.5346 0.9057 0.0000
Tb 0.9057 0.5346 0.0000
Tb 0.9057 0.9057 0.3711
Y 0.2103 0.5299 0.3196
Y 0.2103 0.8907 0.6804
Y 0.5299 0.2103 0.3196
Y 0.8907 0.2103 0.6804
Mg 0.4772 0.4772 0.0000

=====

Which structure is the least stable? The one labeled model b.

=====

Model a:
! TbY4Mg | Alexandria | PBE | relaxed; values from VASP
! **SG**: No. 12
! **Total moment**: 0.00 Bohr magnetons per cell
&SYSTEM
  ibrav = 0, nat = 6, ntyp = 3
/
ATOMIC_SPECIES
Tb 158.93 Tb.upf
Y 88.91 Y.upf
Mg 24.30 Mg.upf
CELL_PARAMETERS angstrom
8.9426 -1.8038 0.0000
8.9426 1.8038 0.0000
-1.7305 0.0000 5.7593
ATOMIC_POSITIONS crystal
Tb 0.0000 0.0000 0.0000
Y 0.1630 0.1630 0.5014
Y 0.3321 0.3321 0.9882
Y 0.6679 0.6679 0.0118
Y 0.8370 0.8370 0.4986
Mg 0.5000 0.5000 0.5000

=====

Model b:
! TbY4Mg | Alexandria | PBE | relaxed; values from VASP
! **SG**: No. 123
! **Total moment**: 0.00 Bohr magnetons per cell
&SYSTEM
  ibrav = 0, nat = 6, ntyp = 3
/
ATOMIC_SPECIES
Tb 158.93 Tb.upf
Y 88.91 Y.upf
Mg 24.30 Mg.upf
CELL_PARAMETERS angstrom
3.6015 0.0000 0.0000
0.0000 3.6015 0.0000
0.0000 0.0000 14.2676
ATOMIC_POSITIONS crystal
Tb 0.0000 0.0000 0.0000
Y 0.0000 0.0000 0.3500
Y 0.0000 0.0000 0.6500
Y 0.5000 0.5000 0.1750
Y 0.5000 0.5000 0.8250
Mg 0.5000 0.5000 0.5000

=====

Which structure is the least stable? The one labeled model a.

=====

Model a:
! Tb2Y2Mg | Alexandria | PBE | relaxed; values from VASP
! **SG**: No. 139
! **Total moment**: 0.01 Bohr magnetons per cell
&SYSTEM
  ibrav = 0, nat = 5, ntyp = 3
/
ATOMIC_SPECIES
Tb 158.93 Tb.upf
Y 88.91 Y.upf
Mg 24.30 Mg.upf
CELL_PARAMETERS angstrom
-1.7988 1.7988 11.7432
1.7988 -1.7988 11.7432
1.7988 1.7988 -11.7432
ATOMIC_POSITIONS crystal
Tb 0.1970 0.1970 0.0000
Tb 0.8030 0.8030 0.0000
Y 0.4082 0.4082 0.0000
Y 0.5918 0.5918 0.0000
Mg 0.0000 0.0000 0.0000

=====

Model b:
! Tb2Y2Mg | Alexandria | PBE | relaxed; values from VASP
! **SG**: No. 141
! **Total moment**: 0.00 Bohr magnetons per cell
&SYSTEM
  ibrav = 0, nat = 10, ntyp = 3
/
ATOMIC_SPECIES
Tb 158.93 Tb.upf
Y 88.91 Y.upf
Mg 24.30 Mg.upf
CELL_PARAMETERS angstrom
-2.5636 2.5636 12.6085
2.5636 -2.5636 12.6085
2.5636 2.5636 -12.6085
ATOMIC_POSITIONS crystal
Tb 0.0500 0.3000 0.7500
Tb 0.3000 0.0500 0.2500
Tb 0.7000 0.9500 0.7500
Tb 0.9500 0.7000 0.2500
Y 0.2032 0.4532 0.7500
Y 0.4532 0.2032 0.2500
Y 0.5468 0.7968 0.7500
Y 0.7968 0.5468 0.2500
Mg 0.3750 0.6250 0.7500
Mg 0.6250 0.3750 0.2500

=====

Which structure is the least stable? The one labeled model b.